Entry 1:
NiSb2Br | Alexandria via LeMat-Bulk | PBE | relaxed; DOS(E_F) = 1.60 states/eV per cell; polymorph energy (0 for the lowest one) = 238 meV/atom; space-group type = Pm; ΔE_f (raw) = 0.04 eV/atom
1.0
-2.7423 3.5857 0.4231
-3.5481 -2.6327 -0.6847
-2.1757 -2.3961 6.2046
Br Ni Sb
1 1 2
Direct
0.0000 0.2035 0.4728 Br
0.5000 0.9350 0.0022 Ni
0.0000 0.9908 0.8910 Sb
0.5000 0.3707 0.1339 Sb

---

Entry 2:
NiSb2Br | Alexandria via LeMat-Bulk | PBE | relaxed; DOS(E_F) = 1.81 states/eV per cell; polymorph energy (0 for the lowest one) = 190 meV/atom; space-group type = Cm; ΔE_f (raw) = -0.01 eV/atom
1.0
-0.6491 -4.0452 -5.4389
-1.2523 -6.0807 -2.7968
-4.8589 -0.4169 -1.4305
Br Ni Sb
1 1 2
Direct
0.5975 0.5975 0.4430 Br
0.2428 0.2428 0.1590 Ni
0.9002 0.9002 0.1411 Sb
0.7595 0.7595 0.7569 Sb

---

Entry 3:
NiSbBr2 | Alexandria via LeMat-Bulk | PBE | relaxed; DOS(E_F) = 2.98 states/eV per cell; polymorph energy (0 for the lowest one) = 325 meV/atom; space-group type = Immm; ΔE_f (raw) = 0.02 eV/atom
1.0
7.2301 0.2414 0.0019
4.5808 5.5990 -0.0019
-5.4674 -3.8060 2.8203
Br Ni Sb
2 1 1
Direct
0.8892 0.8892 0.0000 Br
0.6108 0.6108 0.0000 Br
0.7500 0.2500 0.5000 Ni
0.2500 0.7500 0.5000 Sb

---

Entry 4:
NiSb3Br | Alexandria via LeMat-Bulk | PBE | relaxed; DOS(E_F) = 10.37 states/eV per cell; polymorph energy (0 for the lowest one) = 0 meV/atom; space-group type = Pm-3m; ΔE_f (raw) = 0.30 eV/atom
1.0
5.0644 0.0000 0.0000
0.0000 5.0644 0.0000
0.0000 0.0000 5.0644
Sb Br Ni
3 1 1
Direct
0.0000 0.5000 0.0000 Sb
0.0000 0.0000 0.5000 Sb
0.5000 0.0000 0.0000 Sb
0.5000 0.5000 0.5000 Br
0.0000 0.0000 0.0000 Ni

---

Entry 5:
NiSbBr3 | Alexandria via LeMat-Bulk | PBE | relaxed; DOS(E_F) = 3.71 states/eV per cell; polymorph energy (0 for the lowest one) = 0 meV/atom; space-group type = Pm-3m; ΔE_f (raw) = 0.07 eV/atom
1.0
-0.5034 -2.8848 -3.9566
-3.9001 -2.1688 2.0775
-2.9607 3.3473 -2.0638
Sb Br Ni
1 3 1
Direct
0.5000 0.5000 0.5000 Sb
0.0000 0.5000 0.0000 Br
0.0000 0.0000 0.5000 Br
0.5000 0.0000 0.0000 Br
0.0000 0.0000 0.0000 Ni

---

Entry 6:
NiSbBr2 | Alexandria via LeMat-Bulk | PBE | relaxed; DOS(E_F) = 5.20 states/eV per cell; polymorph energy (0 for the lowest one) = 413 meV/atom; space-group type = Cmmm; ΔE_f (raw) = 0.11 eV/atom
1.0
0.8119 2.4266 -2.5661
-3.1817 -0.1897 1.7243
3.1894 5.8355 6.5272
Ni Sb Br
1 1 2
Direct
0.5000 0.5000 0.5000 Ni
0.5000 0.5000 0.0000 Sb
0.0000 0.0000 0.3220 Br
0.0000 0.0000 0.6780 Br